This record from Alexandria describes a relaxed Pr8ErBi6 crystal. The functional is PBE-GGA.

Properties
VASP energy	-74.95	eV per cell

Lattice parameters (Å, degrees): 8.399 8.399 10.055 65.31 65.31 60.00
Atoms (fractional coordinates):
Pr 0.535 0.218 0.365
Pr 0.782 0.119 0.635
Pr 0.119 0.465 0.635
Pr 0.667 0.667 0.999
Pr 0.333 0.333 0.001
Pr 0.881 0.535 0.365
Pr 0.218 0.881 0.365
Pr 0.465 0.782 0.635
Er 0.000 0.000 0.000
Bi 0.388 0.067 0.804
Bi 0.933 0.259 0.196
Bi 0.259 0.612 0.196
Bi 0.741 0.388 0.804
Bi 0.067 0.741 0.804
Bi 0.612 0.933 0.196

***

This record from Alexandria describes a relaxed Th8PtRh3Se4 crystal. The functional is PBE-GGA.

Properties
energy relative to the elements, uncorrected	-1.252	eV per atom

Lattice parameters (Å, degrees): 8.238 8.733 8.240 118.15 119.99 90.00
Atoms (fractional coordinates):
Th 0.244 0.724 0.980
Th 0.244 0.724 0.487
Th 0.259 0.277 0.518
Th 0.737 0.724 0.980
Th 0.263 0.276 0.020
Th 0.741 0.723 0.482
Th 0.756 0.276 0.513
Th 0.756 0.276 0.020
Pt 0.000 0.500 0.000
Rh 0.500 0.500 0.000
Rh 0.500 0.500 0.500
Rh 0.000 0.500 0.500
Se 0.500 0.000 0.000
Se 0.500 0.000 0.500
Se 0.000 0.000 0.000
Se 0.000 0.000 0.500

***

This record from Alexandria describes a relaxed Sc2Ga3Pd4 crystal. The functional is PBE-GGA.

Properties
energy above the most stable polymorph in this dataset	0.003	eV per atom

Lattice parameters (Å, degrees): 4.564 4.564 8.373 81.75 81.70 60.61
Atoms (fractional coordinates):
Sc 0.368 0.367 0.770
Sc 0.632 0.633 0.230
Ga 0.273 0.273 0.410
Ga 0.000 0.000 0.000
Ga 0.727 0.727 0.590
Pd 0.687 0.687 0.902
Pd 0.955 0.956 0.333
Pd 0.045 0.044 0.667
Pd 0.313 0.313 0.098